[1]
Ac2GeRuRh: relaxed, PBE-GGA.

The space group is P4/nmm (No. 129, origin choice 2) and the conventional cell measures 4.365, 4.365 and 13.843 Å, with angles of 90.00, 90.00 and 90.00 degrees. The distinct sites, in fractional coordinates, are Ac at (0.250, 0.250, 0.103), Ac at (0.250, 0.250, 0.674), Ge at (0.250, 0.250, 0.411), Ru at (0.250, 0.750, 0.500) and Rh at (0.250, 0.250, 0.884).

The value obtained for the size of the total moment is 0.0 μB per cell. As for the total energy: -0.2394 hartree per atom. The crystal system is tetragonal.

***

[2]
Ac6GeRh2S3: relaxed, PBE-GGA.

The space group is C2/m (No. 12) and the conventional cell measures 7.543, 13.094 and 7.836 Å, with angles of 90.00, 108.93 and 90.00 degrees. The distinct sites, in fractional coordinates, are Ac at (0.234, 0.000, 0.240), Ac at (0.248, 0.174, 0.762), Ge at (0.000, 0.500, 0.000), Rh at (0.000, 0.167, 0.000), S at (0.000, 0.000, 0.500) and S at (0.000, 0.338, 0.500).

The value obtained for the size of the total moment is 0.0 μB per cell. As for the total energy: -0.2205 hartree per atom. The crystal system is monoclinic. The value obtained for the uncorrected formation energy is -1.303 eV per atom.

***

[3]
AcGeSbRh3: relaxed, PBE-GGA.

The space group is Cmcm (No. 63) and the conventional cell measures 5.935, 15.645 and 5.888 Å, with angles of 90.00, 90.00 and 90.00 degrees. The distinct sites, in fractional coordinates, are Ac at (0.000, 0.231, 0.250), Ge at (0.000, 0.087, 0.750), Sb at (0.000, 0.406, 0.750), Rh at (0.000, 0.242, 0.750) and Rh at (0.242, 0.000, 0.000).

The value obtained for the size of the total moment is 0.0 μB per cell. As for the total energy: -0.2376 hartree per atom. The crystal system is orthorhombic. The value obtained for the uncorrected formation energy is -0.649 eV per atom.

***

[4]
Ac2Ge3SbRh4: relaxed, PBE-GGA.

The space group is P-4m2 (No. 115) and the conventional cell measures 4.401, 4.401 and 10.567 Å, with angles of 90.00, 90.00 and 90.00 degrees. The distinct sites, in fractional coordinates, are Ac at (0.000, 0.500, 0.247), Ge at (0.000, 0.500, 0.877), Ge at (0.500, 0.500, 0.500), Sb at (0.000, 0.000, 0.500), Rh at (0.000, 0.000, 0.000), Rh at (0.000, 0.500, 0.638) and Rh at (0.500, 0.500, 0.000).

The value obtained for the size of the total moment is 0.0 μB per cell. As for the total energy: -0.2350 hartree per atom. The crystal system is tetragonal. The value obtained for the uncorrected formation energy is -0.836 eV per atom.

***

[5]
Ac2GeSb3Rh4: relaxed, PBE-GGA.

The space group is P-4m2 (No. 115) and the conventional cell measures 4.566, 4.566 and 10.611 Å, with angles of 90.00, 90.00 and 90.00 degrees. The distinct sites, in fractional coordinates, are Ac at (0.000, 0.500, 0.244), Ge at (0.500, 0.500, 0.000), Sb at (0.000, 0.000, 0.000), Sb at (0.000, 0.500, 0.631), Rh at (0.000, 0.000, 0.500), Rh at (0.000, 0.500, 0.881) and Rh at (0.500, 0.500, 0.500).

The value obtained for the size of the total moment is 0.0 μB per cell. As for the total energy: -0.2316 hartree per atom. The crystal system is tetragonal. The value obtained for the uncorrected formation energy is -0.841 eV per atom.

***

[6]
Ac3Ge2SbRh9: relaxed, PBE-GGA.

The space group is P-3m1 (No. 164) and the conventional cell measures 6.9836, 6.9836 and 7.6103 Å, with angles of 90.00, 90.00 and 120.00 degrees. The distinct sites, in fractional coordinates, are Ac at (0.0000, 0.0000, 0.0000), Ac at (0.3333, 0.6667, 0.6869), Ge at (0.3333, 0.6667, 0.1542), Sb at (0.0000, 0.0000, 0.5000), Rh at (0.0000, 0.5000, 0.0000) and Rh at (0.1926, 0.3851, 0.3713).

The value obtained for the size of the total moment is 0.0 μB per cell. As for the total energy: -0.2395 hartree per atom. The crystal system is trigonal. The value obtained for the uncorrected formation energy is -0.394 eV per atom.